(1)
First-principles (GGA-PBE) data for a relaxed structure of YRuW2, as listed in the Alexandria database.

Structure (POSCAR):
```
YRuW2
1.0
2.911 0.000 0.000
0.000 2.911 0.000
0.000 0.000 8.510
Y Ru W
1 1 2
Cartesian
0.000 0.000 0.000
0.000 0.000 4.255
1.456 1.456 2.472
1.456 1.456 6.038
```

## Properties
- offset from the most stable computed form (kJ per mole of atoms) = 21.7
- formation energy from the elements (eV/atom) = 0.40
- N(E_F) (states/eV/cell) = 3.7

(2)
First-principles (GGA-PBE) data for a relaxed structure of KRb12, as listed in the Alexandria database.

Structure (POSCAR):
```
KRb12
1.0
-6.666 6.666 6.666
6.666 -6.666 6.666
6.666 6.666 -6.666
K Rb
1 12
Cartesian
0.000 0.000 0.000
6.666 4.276 -2.471
4.195 0.000 2.390
9.136 0.000 2.390
2.390 4.195 0.000
4.276 -2.471 6.666
0.000 2.390 4.195
6.666 4.276 2.471
2.390 9.136 0.000
4.276 2.471 6.666
-2.471 6.666 4.276
2.471 6.666 4.276
0.000 2.390 9.136
```

## Properties
- formation energy from the elements (eV/atom) = 0.02
- N(E_F) (states/eV/cell) = 10.8

(3)
First-principles (GGA-PBE) data for a relaxed structure of Re3OsAu, as listed in the Alexandria database.

Structure (POSCAR):
```
Re3OsAu
1.0
4.706 0.000 0.000
0.000 4.706 0.000
0.000 0.000 4.706
Re Os Au
3 1 1
Cartesian
0.000 0.000 2.353
0.000 2.353 0.000
2.353 0.000 0.000
0.000 0.000 0.000
2.353 2.353 2.353
```

## Properties
- offset from the most stable computed form (kJ per mole of atoms) = 0.0
- formation energy from the elements (eV/atom) = 2.22
- N(E_F) (states/eV/cell) = 5.6

(4)
First-principles (GGA-PBE) data for a relaxed structure of LaPb3W, as listed in the Alexandria database.

Structure (POSCAR):
```
LaPb3W
1.0
5.406 0.000 0.000
0.000 5.406 0.000
0.000 0.000 5.406
La Pb W
1 3 1
Cartesian
0.000 0.000 0.000
0.000 2.703 2.703
2.703 0.000 2.703
2.703 2.703 0.000
2.703 2.703 2.703
```

## Properties
- offset from the most stable computed form (kJ per mole of atoms) = 0.0
- formation energy from the elements (eV/atom) = 0.47
- N(E_F) (states/eV/cell) = 5.2

What is the formation energy from the elements in the third record? 2.22 eV/atom